No. 1
CsNaMn2Pb: relaxed, PBE-GGA.

Cell lengths 5.418, 5.418, 6.119 Å; angles 90.00, 90.00, 90.00 degrees
Positions (direct):
Cs 0.000 0.000 0.000
Na 0.500 0.500 0.000
Mn 0.000 0.500 0.500
Mn 0.500 0.000 0.500
Pb 0.500 0.500 0.500

The value obtained for the calculated formation energy is 0.6942 eV per atom. The crystal system is tetragonal. The space-group type is P4/mmm.



No. 2
Cs2NaMnRu: relaxed, PBE-GGA.

Cell lengths 7.181, 7.181, 4.395 Å; angles 90.00, 90.00, 90.00 degrees
Positions (direct):
Cs 0.000 0.500 0.000
Cs 0.500 0.000 0.000
Na 0.000 0.000 0.500
Mn 0.500 0.500 0.000
Ru 0.500 0.500 0.500

The value obtained for the calculated formation energy is 0.9342 eV per atom. The crystal system is tetragonal. The space-group type is P4/mmm.



No. 3
CsNaMnS2: relaxed, PBE-GGA.

Cell lengths 7.959, 7.959, 6.766 Å; angles 90.00, 90.00, 135.02 degrees
Positions (direct):
Cs 0.250 0.750 0.778
Cs 0.750 0.250 0.222
Na 0.000 0.000 0.500
Na 0.500 0.500 0.500
Mn 0.250 0.250 0.000
Mn 0.750 0.750 0.000
S 0.099 0.901 0.186
S 0.401 0.599 0.186
S 0.599 0.401 0.814
S 0.901 0.099 0.814

The crystal system is orthorhombic. The space-group type is Cmme. The value obtained for the formation energy from raw total energies is -0.860 eV per atom.



No. 4
CsNaMnSe2: relaxed, PBE-GGA.

Cell lengths 8.276, 8.276, 7.027 Å; angles 90.00, 90.00, 135.48 degrees
Positions (direct):
Cs 0.250 0.750 0.775
Cs 0.750 0.250 0.225
Na 0.000 0.000 0.500
Na 0.500 0.500 0.500
Mn 0.250 0.250 0.000
Mn 0.750 0.750 0.000
Se 0.102 0.898 0.189
Se 0.398 0.602 0.189
Se 0.602 0.398 0.811
Se 0.898 0.102 0.811

The crystal system is orthorhombic. The space-group type is Cmme. The value obtained for the formation energy from raw total energies is -0.826 eV per atom.



Calculated uncorrected energy in order - -4.150 -3.360 -4.779 -4.488 eV per atom